A relaxed Hf2TaPdRu crystal, computed with GGA-PBE.

Results
D(E_F)   6.74 states/eV/cell
Space group   P4/mmm
E_tot   -41.937 eV per cell

extended XYZ file:
```
5
Lattice="-2.494 -1.184 -3.890 -1.306 -4.212 2.119 -3.862 2.118 1.831" Properties=species:S:1:pos:R:3 pbc="T T T"
Ru 0.000 0.000 0.000
Hf -1.931 1.059 0.916
Hf -1.247 -0.592 -1.945
Pd -0.653 -2.106 1.060
Ta -3.831 -1.639 0.030
```

---

A relaxed Tl2CdSn2 crystal, computed with GGA-PBE.

Results
D(E_F)   4.34 states/eV/cell
Space group   P4/mbm
Distance to the lowest polymorph of the same formula   14 meV per atom

extended XYZ file:
```
10
Lattice="7.676 0.000 0.000 0.000 7.676 0.000 0.000 0.000 5.128" Properties=species:S:1:pos:R:3 pbc="T T T"
Tl 1.280 5.118 2.564
Tl 5.118 6.396 2.564
Tl 6.396 2.558 2.564
Tl 2.558 1.280 2.564
Sn 2.776 6.613 0.000
Sn 6.613 4.900 0.000
Sn 4.900 1.062 0.000
Sn 1.062 2.776 0.000
Cd 0.000 0.000 0.000
Cd 3.838 3.838 0.000
```

---

A relaxed OsAuCl2 crystal, computed with GGA-PBE.

Results
D(E_F)   7.27 states/eV/cell
Space group   I-42d
Distance to the lowest polymorph of the same formula   319 meV per atom
Uncorrected formation energy   0.54 eV per atom

extended XYZ file:
```
8
Lattice="8.184 0.000 0.000 0.000 8.184 0.000 4.092 4.092 2.676" Properties=species:S:1:pos:R:3 pbc="T T T"
Os 4.092 4.092 0.000
Os 4.092 8.184 1.338
Au 0.000 0.000 0.000
Au 8.184 4.092 1.338
Cl 4.991 2.046 0.669
Cl 3.193 6.138 0.669
Cl 6.138 7.285 2.007
Cl 10.230 9.083 2.007
```

---

A relaxed Zr2GeH crystal, computed with GGA-PBE.

Results
D(E_F)   4.86 states/eV/cell
Space group   R-3m
Distance to the lowest polymorph of the same formula   460 meV per atom

extended XYZ file:
```
4
Lattice="-2.834 -2.438 -0.314 -0.935 -2.174 2.911 -5.626 3.259 3.044" Properties=species:S:1:pos:R:3 pbc="T T T"
H 0.000 0.000 0.000
Ge -4.697 -0.677 2.821
Zr -4.437 1.955 2.452
Zr -4.958 -3.308 3.189
```

---

A relaxed Mg6Cd12Ga crystal, computed with GGA-PBE.

Results
D(E_F)   4.91 states/eV/cell
Space group   R-3m
Distance to the lowest polymorph of the same formula   14 meV per atom

extended XYZ file:
```
19
Lattice="7.548 0.275 1.641 1.380 7.426 1.641 0.319 0.275 7.718" Properties=species:S:1:pos:R:3 pbc="T T T"
Mg 3.035 6.605 3.611
Mg 2.268 5.943 7.390
Mg 6.890 5.944 3.505
Mg 6.212 1.371 7.390
Mg 6.979 2.033 3.610
Mg 2.357 2.033 7.496
Cd 4.347 1.733 5.171
Cd 2.352 4.045 5.171
Cd 4.689 4.045 3.206
Cd 4.900 6.244 5.830
Cd 6.895 3.931 5.830
Cd 4.557 3.931 7.795
Cd 4.049 1.221 2.143
Cd 7.445 4.150 8.857
Cd 7.832 6.756 6.643
Cd 5.197 6.756 8.857
Cd 1.801 3.827 2.143
Cd 1.415 1.220 4.358
Ga 0.000 0.000 0.000
```

---

A relaxed Y4Pd crystal, computed with GGA-PBE.

Results
D(E_F)   9.09 states/eV/cell
Space group   Pm-3m
Distance to the lowest polymorph of the same formula   149 meV per atom

extended XYZ file:
```
5
Lattice="-5.005 -1.636 -1.512 1.009 -4.980 2.048 -1.985 1.592 4.851" Properties=species:S:1:pos:R:3 pbc="T T T"
Y 0.000 0.000 0.000
Y -3.495 -0.022 1.670
Y -0.488 -1.694 3.449
Y -1.998 -3.308 0.268
Pd -2.991 -2.512 2.694
```

---

A relaxed OsWS3 crystal, computed with GGA-PBE.

Results
D(E_F)   3.68 states/eV/cell
Space group   Pm-3m
Distance to the lowest polymorph of the same formula   0 meV per atom
Uncorrected formation energy   1.20 eV per atom

extended XYZ file:
```
5
Lattice="4.658 0.000 0.000 0.000 4.658 0.000 0.000 0.000 4.658" Properties=species:S:1:pos:R:3 pbc="T T T"
S 0.000 2.329 0.000
S 0.000 0.000 2.329
S 2.329 0.000 0.000
Os 2.329 2.329 2.329
W 0.000 0.000 0.000
```

---

A relaxed YBRuPt2 crystal, computed with GGA-PBE.

Results
D(E_F)   0.85 states/eV/cell
Space group   P4/mmm
E_tot   -38.140 eV per cell

extended XYZ file:
```
5
Lattice="-1.245 3.175 2.634 -3.245 -2.453 1.424 2.486 -1.534 3.024" Properties=species:S:1:pos:R:3 pbc="T T T"
Y -1.002 -0.405 3.541
Ru 1.243 -0.767 1.512
B 0.000 0.000 0.000
Pt -1.622 -1.226 0.712
Pt -0.622 1.588 1.317
```

---

| no. | total moment (μB/cell) |
| --- | --- |
| 1 | 0.0 |
| 2 | 0.0 |
| 3 | 0.0 |
| 4 | 0.1 |
| 5 | 0.0 |
| 6 | 0.0 |
| 7 | 4.3 |
| 8 | 0.0 |